{
  "formula": "TiWIN2",
  "functional": "PBE",
  "state": "optimized geometry",
  "lattice_angstrom": [[3.977, 0.000, 0.000], [0.000, 3.977, 0.000], [0.000, 0.000, 5.653]],
  "species": ["Ti", "W", "I", "N", "N"],
  "fractional_positions": [[0.000, 0.000, 0.000], [0.500, 0.500, 0.500], [0.000, 0.000, 0.500], [0.000, 0.500, 0.000], [0.500, 0.000, 0.000]],
  "raw_formation_energy_mev_per_atom": 1303.6,
  "volume_a3_per_atom": 17.885,
  "spacegroup": "No. 123",
  "mass_density_g_cm3": 7.18,
  "n_ef_per_ev_cell": 3.93
}



{
  "formula": "TiWIN2",
  "functional": "PBE",
  "state": "optimized geometry",
  "lattice_angstrom": [[3.964, 0.000, 0.000], [0.000, 3.964, 0.000], [0.000, 0.000, 5.613]],
  "species": ["Ti", "W", "I", "N", "N"],
  "fractional_positions": [[0.000, 0.000, 0.000], [0.500, 0.500, 0.500], [0.500, 0.500, 0.000], [0.000, 0.500, 0.500], [0.500, 0.000, 0.500]],
  "raw_formation_energy_mev_per_atom": 733.5,
  "volume_a3_per_atom": 17.641,
  "spacegroup": "No. 123",
  "mass_density_g_cm3": 7.28,
  "n_ef_per_ev_cell": 6.73
}



{
  "formula": "TiWI2N",
  "functional": "PBE",
  "state": "optimized geometry",
  "lattice_angstrom": [[5.595, 0.000, 0.000], [0.000, 5.595, 0.000], [0.000, 0.000, 3.811]],
  "species": ["Ti", "W", "I", "I", "N"],
  "fractional_positions": [[0.000, 0.000, 0.000], [0.500, 0.500, 0.500], [0.000, 0.500, 0.500], [0.500, 0.000, 0.500], [0.500, 0.500, 0.000]],
  "raw_formation_energy_mev_per_atom": 740.4,
  "volume_a3_per_atom": 23.855,
  "spacegroup": "No. 123",
  "mass_density_g_cm3": 6.95,
  "n_ef_per_ev_cell": 9.35
}



{
  "formula": "YTiI2N",
  "functional": "PBE",
  "state": "optimized geometry",
  "lattice_angstrom": [[6.136, 0.000, 0.000], [0.000, 6.136, 0.000], [0.000, 0.000, 4.076]],
  "species": ["Y", "Ti", "I", "I", "N"],
  "fractional_positions": [[0.000, 0.000, 0.000], [0.500, 0.500, 0.500], [0.000, 0.500, 0.000], [0.500, 0.000, 0.000], [0.000, 0.000, 0.500]],
  "raw_formation_energy_mev_per_atom": 178.9,
  "volume_a3_per_atom": 30.693,
  "spacegroup": "No. 123",
  "mass_density_g_cm3": 4.38,
  "n_ef_per_ev_cell": 6.47
}



{
  "formula": "YTiI2N",
  "functional": "PBE",
  "state": "optimized geometry",
  "lattice_angstrom": [[5.708, 0.000, 0.000], [0.000, 5.708, 0.000], [0.000, 0.000, 3.800]],
  "species": ["Y", "Ti", "I", "I", "N"],
  "fractional_positions": [[0.000, 0.000, 0.000], [0.500, 0.500, 0.500], [0.000, 0.500, 0.500], [0.500, 0.000, 0.500], [0.500, 0.500, 0.000]],
  "raw_formation_energy_mev_per_atom": -376.0,
  "volume_a3_per_atom": 24.757,
  "spacegroup": "No. 123",
  "mass_density_g_cm3": 5.43,
  "n_ef_per_ev_cell": 2.97
}



{
  "formula": "ZrTiI2N",
  "functional": "PBE",
  "state": "optimized geometry",
  "lattice_angstrom": [[5.455, 0.000, 0.000], [0.000, 5.455, 0.000], [0.000, 0.000, 3.735]],
  "species": ["Zr", "Ti", "I", "I", "N"],
  "fractional_positions": [[0.000, 0.000, 0.000], [0.500, 0.500, 0.000], [0.000, 0.500, 0.500], [0.500, 0.000, 0.500], [0.500, 0.500, 0.500]],
  "raw_formation_energy_mev_per_atom": 357.3,
  "volume_a3_per_atom": 22.233,
  "spacegroup": "No. 123",
  "mass_density_g_cm3": 6.08,
  "n_ef_per_ev_cell": 5.41
}